--- P ---
A plane-wave DFT calculation with PBE was carried out for a relaxed CaAgAs2Br crystal.

- space group = No. 123

Geometry as POSCAR:
```
CaAgAs2Br
1.0
5.601 0.000 0.000
0.000 5.601 0.000
0.000 0.000 5.467
Ca Ag As Br
1 1 2 1
direct
0.000 0.000 0.000
0.500 0.500 0.500
0.000 0.500 0.000
0.500 0.000 0.000
0.000 0.000 0.500
```

--- Q ---
A plane-wave DFT calculation with PBE was carried out for a relaxed CaAgAs2Br crystal.

- space group = No. 123

Geometry as POSCAR:
```
CaAgAs2Br
1.0
4.922 0.000 0.000
0.000 4.922 0.000
0.000 0.000 5.869
Ca Ag As Br
1 1 2 1
direct
0.000 0.000 0.000
0.500 0.500 0.500
0.000 0.500 0.500
0.500 0.000 0.500
0.500 0.500 0.000
```

Stability ranking, top entry: Q; the second entry is 0.409 eV/atom less favorable.

--- P ---
A plane-wave DFT calculation with PBE was carried out for a relaxed CuAgAs2Br crystal.

- space group = No. 123

Geometry as POSCAR:
```
CuAgAs2Br
1.0
5.026 0.000 0.000
0.000 5.026 0.000
0.000 0.000 5.390
Cu Ag As Br
1 1 2 1
direct
0.000 0.000 0.000
0.500 0.500 0.500
0.000 0.500 0.500
0.500 0.000 0.500
0.500 0.500 0.000
```

--- Q ---
A plane-wave DFT calculation with PBE was carried out for a relaxed CuAgAs2Br crystal.

- space group = No. 123

Geometry as POSCAR:
```
CuAgAs2Br
1.0
4.510 0.000 0.000
0.000 4.510 0.000
0.000 0.000 6.442
Cu Ag As Br
1 1 2 1
direct
0.000 0.000 0.000
0.500 0.500 0.500
0.000 0.500 0.000
0.500 0.000 0.000
0.000 0.000 0.500
```

Stability ranking, top entry: Q; the second entry is 0.417 eV/atom less favorable.

--- P ---
A plane-wave DFT calculation with PBE was carried out for a relaxed FeAgAsBr2 crystal.

- space group = No. 123

Geometry as POSCAR:
```
FeAgAsBr2
1.0
5.233 0.000 0.000
0.000 5.233 0.000
0.000 0.000 4.479
Fe Ag As Br
1 1 1 2
direct
0.000 0.000 0.000
0.500 0.500 0.500
0.000 0.000 0.500
0.000 0.500 0.000
0.500 0.000 0.000
```

--- Q ---
A plane-wave DFT calculation with PBE was carried out for a relaxed FeAgAsBr2 crystal.

- space group = No. 123

Geometry as POSCAR:
```
FeAgAsBr2
1.0
5.295 0.000 0.000
0.000 5.295 0.000
0.000 0.000 5.139
Fe Ag As Br
1 1 1 2
direct
0.000 0.000 0.000
0.500 0.500 0.500
0.500 0.500 0.000
0.000 0.500 0.500
0.500 0.000 0.500
```

Stability ranking, top entry: P; the second entry is 0.577 eV/atom less favorable.

--- P ---
A plane-wave DFT calculation with PBE was carried out for a relaxed AgGeAsBr2 crystal.

- space group = No. 123

Geometry as POSCAR:
```
AgGeAsBr2
1.0
5.303 0.000 0.000
0.000 5.303 0.000
0.000 0.000 5.242
Ag Ge As Br
1 1 1 2
direct
0.000 0.000 0.000
0.500 0.500 0.500
0.500 0.500 0.000
0.000 0.500 0.500
0.500 0.000 0.500
```

--- Q ---
A plane-wave DFT calculation with PBE was carried out for a relaxed AgGeAsBr2 crystal.

- space group = No. 123

Geometry as POSCAR:
```
AgGeAsBr2
1.0
5.202 0.000 0.000
0.000 5.202 0.000
0.000 0.000 5.199
Ag Ge As Br
1 1 1 2
direct
0.000 0.000 0.000
0.500 0.500 0.500
0.000 0.000 0.500
0.000 0.500 0.000
0.500 0.000 0.000
```

Stability ranking, top entry: P; the second entry is 0.194 eV/atom less favorable.

--- P ---
A plane-wave DFT calculation with PBE was carried out for a relaxed AgAsHBr2 crystal.

- space group = No. 123

Geometry as POSCAR:
```
AgAsHBr2
1.0
5.454 0.000 0.000
0.000 5.454 0.000
0.000 0.000 5.019
Ag As H Br
1 1 1 2
direct
0.000 0.000 0.000
0.000 0.000 0.500
0.500 0.500 0.500
0.000 0.500 0.000
0.500 0.000 0.000
```

--- Q ---
A plane-wave DFT calculation with PBE was carried out for a relaxed AgAsHBr2 crystal.

- space group = No. 123

Geometry as POSCAR:
```
AgAsHBr2
1.0
5.332 0.000 0.000
0.000 5.332 0.000
0.000 0.000 3.497
Ag As H Br
1 1 1 2
direct
0.000 0.000 0.000
0.500 0.500 0.000
0.500 0.500 0.500
0.000 0.500 0.500
0.500 0.000 0.500
```

Stability ranking, top entry: Q; the second entry is 0.449 eV/atom less favorable.

--- P ---
A plane-wave DFT calculation with PBE was carried out for a relaxed LaAgAs2Br crystal.

- space group = No. 123

Geometry as POSCAR:
```
LaAgAs2Br
1.0
4.983 0.000 0.000
0.000 4.983 0.000
0.000 0.000 5.370
La Ag As Br
1 1 2 1
direct
0.000 0.000 0.000
0.500 0.500 0.500
0.000 0.500 0.500
0.500 0.000 0.500
0.500 0.500 0.000
```

--- Q ---
A plane-wave DFT calculation with PBE was carried out for a relaxed LaAgAs2Br crystal.

- space group = No. 123

Geometry as POSCAR:
```
LaAgAs2Br
1.0
5.799 0.000 0.000
0.000 5.799 0.000
0.000 0.000 5.764
La Ag As Br
1 1 2 1
direct
0.000 0.000 0.000
0.500 0.500 0.500
0.000 0.500 0.000
0.500 0.000 0.000
0.000 0.000 0.500
```

Stability ranking, top entry: P; the second entry is 0.431 eV/atom less favorable.

--- P ---
A plane-wave DFT calculation with PBE was carried out for a relaxed AgAs2BrN crystal.

- space group = No. 123

Geometry as POSCAR:
```
AgAs2BrN
1.0
4.102 0.000 0.000
0.000 4.102 0.000
0.000 0.000 7.785
Ag As Br N
1 2 1 1
direct
0.000 0.000 0.000
0.000 0.500 0.500
0.500 0.000 0.500
0.500 0.500 0.000
0.500 0.500 0.500
```

--- Q ---
A plane-wave DFT calculation with PBE was carried out for a relaxed AgAs2BrN crystal.

- space group = No. 123

Geometry as POSCAR:
```
AgAs2BrN
1.0
5.050 0.000 0.000
0.000 5.050 0.000
0.000 0.000 5.501
Ag As Br N
1 2 1 1
direct
0.000 0.000 0.000
0.000 0.500 0.000
0.500 0.000 0.000
0.000 0.000 0.500
0.500 0.500 0.500
```

Stability ranking, top entry: P; the second entry is 0.878 eV/atom less favorable.

--- P ---
A plane-wave DFT calculation with PBE was carried out for a relaxed NaAgAs2Br crystal.

- space group = No. 123

Geometry as POSCAR:
```
NaAgAs2Br
1.0
5.203 0.000 0.000
0.000 5.203 0.000
0.000 0.000 5.326
Na Ag As Br
1 1 2 1
direct
0.000 0.000 0.000
0.500 0.500 0.500
0.000 0.500 0.000
0.500 0.000 0.000
0.000 0.000 0.500
```

--- Q ---
A plane-wave DFT calculation with PBE was carried out for a relaxed NaAgAs2Br crystal.

- space group = No. 123

Geometry as POSCAR:
```
NaAgAs2Br
1.0
4.954 0.000 0.000
0.000 4.954 0.000
0.000 0.000 6.290
Na Ag As Br
1 1 2 1
direct
0.000 0.000 0.000
0.500 0.500 0.500
0.000 0.500 0.500
0.500 0.000 0.500
0.500 0.500 0.000
```

Stability ranking, top entry: Q; the second entry is 0.580 eV/atom less favorable.

--- P ---
A plane-wave DFT calculation with PBE was carried out for a relaxed Na2AgAsBr6 crystal.

- space group = No. 146

Geometry as POSCAR:
```
Na2AgAsBr6
1.0
3.644 2.104 6.411
-3.644 2.104 6.411
0.000 -4.207 6.411
Na Ag As Br
2 1 1 6
direct
0.000 0.000 0.000
0.491 0.491 0.491
0.294 0.294 0.294
0.801 0.801 0.801
0.049 0.442 0.677
0.167 0.913 0.577
0.442 0.677 0.049
0.577 0.167 0.913
0.677 0.049 0.442
0.913 0.577 0.167
```

--- Q ---
A plane-wave DFT calculation with PBE was carried out for a relaxed Na2AgAsBr6 crystal.

- space group = No. 225

Geometry as POSCAR:
```
Na2AgAsBr6
1.0
0.000 5.432 5.432
5.432 0.000 5.432
5.432 5.432 0.000
Na Ag As Br
2 1 1 6
direct
0.250 0.250 0.250
0.750 0.750 0.750
0.000 0.000 0.000
0.500 0.500 0.500
0.256 0.256 0.744
0.256 0.744 0.256
0.256 0.744 0.744
0.744 0.256 0.256
0.744 0.256 0.744
0.744 0.744 0.256
```

Stability ranking, top entry: P; the second entry is 0.113 eV/atom less favorable.

--- P ---
A plane-wave DFT calculation with PBE was carried out for a relaxed NiAgAs2Br crystal.

- space group = No. 123

Geometry as POSCAR:
```
NiAgAs2Br
1.0
4.322 0.000 0.000
0.000 4.322 0.000
0.000 0.000 8.193
Ni Ag As Br
1 1 2 1
direct
0.000 0.000 0.000
0.500 0.500 0.500
0.000 0.500 0.000
0.500 0.000 0.000
0.000 0.000 0.500
```

--- Q ---
A plane-wave DFT calculation with PBE was carried out for a relaxed NiAgAs2Br crystal.

- space group = No. 123

Geometry as POSCAR:
```
NiAgAs2Br
1.0
4.980 0.000 0.000
0.000 4.980 0.000
0.000 0.000 5.293
Ni Ag As Br
1 1 2 1
direct
0.000 0.000 0.000
0.500 0.500 0.500
0.000 0.500 0.500
0.500 0.000 0.500
0.500 0.500 0.000
```

Stability ranking, top entry: P; the second entry is 0.836 eV/atom less favorable.

--- P ---
A plane-wave DFT calculation with PBE was carried out for a relaxed AgAs2PBr crystal.

- space group = No. 123

Geometry as POSCAR:
```
AgAs2PBr
1.0
4.734 0.000 0.000
0.000 4.734 0.000
0.000 0.000 5.438
Ag As P Br
1 2 1 1
direct
0.000 0.000 0.000
0.000 0.500 0.500
0.500 0.000 0.500
0.500 0.500 0.500
0.500 0.500 0.000
```

--- Q ---
A plane-wave DFT calculation with PBE was carried out for a relaxed AgAs2PBr crystal.

- space group = No. 123

Geometry as POSCAR:
```
AgAs2PBr
1.0
5.109 0.000 0.000
0.000 5.109 0.000
0.000 0.000 5.046
Ag As P Br
1 2 1 1
direct
0.000 0.000 0.000
0.000 0.500 0.000
0.500 0.000 0.000
0.500 0.500 0.500
0.000 0.000 0.500
```

Stability ranking, top entry: P; the second entry is 0.433 eV/atom less favorable.

--- P ---
A plane-wave DFT calculation with PBE was carried out for a relaxed AgAsPtBr2 crystal.

- space group = No. 123

Geometry as POSCAR:
```
AgAsPtBr2
1.0
5.085 0.000 0.000
0.000 5.085 0.000
0.000 0.000 5.250
Ag As Pt Br
1 1 1 2
direct
0.000 0.000 0.000
0.000 0.000 0.500
0.500 0.500 0.500
0.000 0.500 0.000
0.500 0.000 0.000
```

--- Q ---
A plane-wave DFT calculation with PBE was carried out for a relaxed AgAsPtBr2 crystal.

- space group = No. 123

Geometry as POSCAR:
```
AgAsPtBr2
1.0
5.406 0.000 0.000
0.000 5.406 0.000
0.000 0.000 4.701
Ag As Pt Br
1 1 1 2
direct
0.000 0.000 0.000
0.500 0.500 0.000
0.500 0.500 0.500
0.000 0.500 0.500
0.500 0.000 0.500
```

Stability ranking, top entry: Q; the second entry is 0.707 eV/atom less favorable.

--- P ---
A plane-wave DFT calculation with PBE was carried out for a relaxed RbAgAsBr2 crystal.

- space group = No. 123

Geometry as POSCAR:
```
RbAgAsBr2
1.0
6.402 0.000 0.000
0.000 6.402 0.000
0.000 0.000 6.412
Rb Ag As Br
1 1 1 2
direct
0.000 0.000 0.000
0.500 0.500 0.500
0.000 0.000 0.500
0.000 0.500 0.000
0.500 0.000 0.000
```

--- Q ---
A plane-wave DFT calculation with PBE was carried out for a relaxed RbAgAsBr2 crystal.

- space group = No. 123

Geometry as POSCAR:
```
RbAgAsBr2
1.0
5.726 0.000 0.000
0.000 5.726 0.000
0.000 0.000 5.085
Rb Ag As Br
1 1 1 2
direct
0.000 0.000 0.000
0.500 0.500 0.500
0.500 0.500 0.000
0.000 0.500 0.500
0.500 0.000 0.500
```

Stability ranking, top entry: Q; the second entry is 0.796 eV/atom less favorable.

--- P ---
A plane-wave DFT calculation with PBE was carried out for a relaxed ReAgAsBr2 crystal.

- space group = No. 123

Geometry as POSCAR:
```
ReAgAsBr2
1.0
5.225 0.000 0.000
0.000 5.225 0.000
0.000 0.000 5.260
Re Ag As Br
1 1 1 2
direct
0.000 0.000 0.000
0.500 0.500 0.500
0.500 0.500 0.000
0.000 0.500 0.500
0.500 0.000 0.500
```

--- Q ---
A plane-wave DFT calculation with PBE was carried out for a relaxed ReAgAsBr2 crystal.

- space group = No. 123

Geometry as POSCAR:
```
ReAgAsBr2
1.0
5.288 0.000 0.000
0.000 5.288 0.000
0.000 0.000 4.747
Re Ag As Br
1 1 1 2
direct
0.000 0.000 0.000
0.500 0.500 0.500
0.000 0.000 0.500
0.000 0.500 0.000
0.500 0.000 0.000
```

Stability ranking, top entry: Q; the second entry is 0.772 eV/atom less favorable.